# TlCoP2O

An optimized crystal structure of TlCoP2O (PBE+U, Alexandria via LeMat-Bulk).

Output
DOS(E_F), states/eV/cell: 3.9
Final energy, eV per atom: -3.338

a = 5.1806 Å, b = 5.1806 Å, c = 4.1476 Å
α = 90.00°, β = 90.00°, γ = 90.00°
With the nearest neighbours (Å) after each atom.
Space group P4/mmm (No. 123)
Symmetry-distinct sites (fractional):
1 Tl 0.0000 0.0000 0.0000 x1  2 O 2.07
2 Co 0.5000 0.5000 0.5000 x1  8 P 3.32, 4 O 3.66
3 P 0.0000 0.5000 0.0000 x2  2 Tl 2.59
4 O 0.0000 0.0000 0.5000 x1  2 Tl 2.07